# 1
# PBE with a Hubbard U KRb2Mn2F7, optimized geometry
data_KRb2Mn2F7
_cell_length_a 4.285
_cell_length_b 4.285
_cell_length_c 11.671
_cell_angle_alpha 79.45
_cell_angle_beta 79.45
_cell_angle_gamma 90.00
_space_group_name_H-M_alt 'P 1'
_space_group_IT_number 1
loop_
_space_group_symop_operation_xyz
'x,y,z'
loop_
_atom_site_label
_atom_site_type_symbol
_atom_site_fract_x
_atom_site_fract_y
_atom_site_fract_z
F1 F 0.689 0.689 0.620
K1 K 0.000 0.000 0.000
F2 F 0.500 0.500 0.000
F3 F 0.311 0.311 0.380
F4 F 0.408 0.908 0.186
Mn1 Mn 0.594 0.594 0.810
F5 F 0.908 0.408 0.186
F6 F 0.092 0.592 0.814
Rb1 Rb 0.815 0.815 0.370
Mn2 Mn 0.406 0.406 0.190
Rb2 Rb 0.185 0.185 0.630
F7 F 0.592 0.092 0.814
# Uncorrected energy   -5.35 eV/atom
# Symmetry   C2/m
# Size of the total moment   10.000 μB per formula unit


# 2
# PBE with a Hubbard U K2RbMnF6, optimized geometry
data_K2RbMnF6
_cell_length_a 6.202
_cell_length_b 6.523
_cell_length_c 8.850
_cell_angle_alpha 90.00
_cell_angle_beta 89.48
_cell_angle_gamma 90.00
_space_group_name_H-M_alt 'P 1'
_space_group_IT_number 1
loop_
_space_group_symop_operation_xyz
'x,y,z'
loop_
_atom_site_label
_atom_site_type_symbol
_atom_site_fract_x
_atom_site_fract_y
_atom_site_fract_z
F1 F 0.754 0.838 0.540
F2 F 0.150 0.256 0.076
F3 F 0.107 0.439 0.799
F4 F 0.607 0.061 0.299
Mn1 Mn 0.000 0.500 0.000
F5 F 0.393 0.939 0.701
F6 F 0.650 0.244 0.576
Rb1 Rb 0.500 0.000 0.000
K1 K 0.516 0.550 0.757
F7 F 0.254 0.662 0.040
F8 F 0.350 0.756 0.424
Rb2 Rb 0.000 0.500 0.500
F9 F 0.246 0.162 0.460
K2 K 0.484 0.450 0.243
K3 K 0.016 0.950 0.257
F10 F 0.893 0.561 0.201
F11 F 0.850 0.744 0.924
K4 K 0.984 0.050 0.743
F12 F 0.746 0.338 0.960
Mn2 Mn 0.500 0.000 0.500
# Uncorrected energy   -4.78 eV/atom
# Symmetry   P2_1/c
# Size of the total moment   2.000 μB per formula unit


# 3
# PBE with a Hubbard U K2RbMn2F7, optimized geometry
data_K2RbMn2F7
_cell_length_a 11.409
_cell_length_b 11.409
_cell_length_c 11.409
_cell_angle_alpha 158.39
_cell_angle_beta 158.39
_cell_angle_gamma 30.75
_space_group_name_H-M_alt 'P 1'
_space_group_IT_number 1
loop_
_space_group_symop_operation_xyz
'x,y,z'
loop_
_atom_site_label
_atom_site_type_symbol
_atom_site_fract_x
_atom_site_fract_y
_atom_site_fract_z
F1 F 0.195 0.195 0.000
F2 F 0.805 0.805 0.000
Mn1 Mn 0.901 0.901 0.000
Rb1 Rb 0.500 0.500 0.000
F3 F 0.599 0.099 0.500
K1 K 0.314 0.314 0.000
F4 F 0.901 0.401 0.500
F5 F 0.401 0.901 0.500
F6 F 0.000 0.000 0.000
K2 K 0.686 0.686 0.000
Mn2 Mn 0.099 0.099 0.000
F7 F 0.099 0.599 0.500
# Uncorrected energy   -5.37 eV/atom
# Symmetry   I4/mmm
# Size of the total moment   10.000 μB per formula unit


# 4
# PBE with a Hubbard U KRbMnF6, optimized geometry
data_KRbMnF6
_cell_length_a 6.035
_cell_length_b 6.035
_cell_length_c 6.035
_cell_angle_alpha 60.00
_cell_angle_beta 60.00
_cell_angle_gamma 60.00
_space_group_name_H-M_alt 'P 1'
_space_group_IT_number 1
loop_
_space_group_symop_operation_xyz
'x,y,z'
loop_
_atom_site_label
_atom_site_type_symbol
_atom_site_fract_x
_atom_site_fract_y
_atom_site_fract_z
F1 F 0.217 0.783 0.783
F2 F 0.783 0.217 0.783
F3 F 0.217 0.783 0.217
F4 F 0.783 0.217 0.217
Mn1 Mn 0.000 0.000 0.000
F5 F 0.217 0.217 0.783
Rb1 Rb 0.750 0.750 0.750
F6 F 0.783 0.783 0.217
K1 K 0.250 0.250 0.250
# Uncorrected energy   -4.91 eV/atom
# Symmetry   F-43m
# Size of the total moment   3.302 μB per formula unit


no.,DOS(E_F) (states/eV per atom)
1,0.0000
2,0.0000
3,0.0000
4,0.0000